VASP calculation (PBE) on a relaxed Ti2AlF crystal.

a = 4.9448 Å, b = 4.9448 Å, c = 6.9343 Å
α = 69.11°, β = 69.11°, γ = 90.00°
Last column: nearest neighbours and their distance in Å.
Fractional coordinates of all 8 atoms:
Ti: 0.8750 0.7450 0.7500  2 F 2.03
Ti: 0.2550 0.6250 0.2500  2 F 2.03
Ti: 0.3750 0.5050 0.7500  2 F 2.03
Ti: 0.4950 0.1250 0.2500  2 F 2.03
Al: 0.0000 0.0000 0.0000  4 Ti 2.70
Al: 0.7500 0.2500 0.5000  4 Ti 2.70
F: 0.5000 0.5000 0.0000  4 Ti 2.03
F: 0.2500 0.7500 0.5000  4 Ti 2.03

Summary:
**Energy relative to the lowest polymorph listed for this composition**: 0.000 eV per atom
**Mass density**: 3.2 Mg/m³
**Energy relative to the elements, uncorrected**: -0.3742 eV per atom
**Space group**: I-42d, No. 122
**Volume**: 18.30 Å³/atom
**Electronic total energy**: -5.725 eV per atom